BaPt2Pb4 | the Alexandria database | GGA-PBE | relaxed; energy relative to the elements = -26 kJ/mol of atoms; total moment = 0.000 μB/atom; SG = Cmmm
1.0
5.151 0.000 0.000
0.000 14.793 0.000
0.000 0.000 5.163
Ba Pt Pb
2 4 8
direct
0.000 0.000 0.000
0.500 0.500 0.000
0.000 0.410 0.500
0.000 0.590 0.500
0.500 0.090 0.500
0.500 0.910 0.500
0.000 0.177 0.500
0.000 0.323 0.000
0.000 0.677 0.000
0.000 0.823 0.500
0.500 0.177 0.000
0.500 0.323 0.500
0.500 0.677 0.500
0.500 0.823 0.000